Material: LiFeOs2
Method: DFT, PBE
State: relaxed

Cell: 3.7014 3.7014 3.8119 Å, 90.00 90.00 90.00°
Fractional coordinates of all 4 atoms:
Li1 0.0000 0.0000 0.0000
Fe1 0.5000 0.5000 0.0000
Os1 0.0000 0.5000 0.5000
Os2 0.5000 0.0000 0.5000

Magnetization = 2.522 Bohr magnetons per cell
ΔH_f (0 K) = 0.3991 eV per atom
Distance to the lowest polymorph of the same formula = 0.232 eV/atom
Symmetry = P4/mmm